Entry 1:
Tb3Pm2Tm6Th: relaxed, GGA-PBE.

The structure in POSCAR format:
```
Tb3Pm2Tm6Th
1.0
6.147 0.002 0.008
-3.071 5.325 0.008
-1.040 -1.800 11.474
Tb Pm Tm Th
3 2 6 1
Direct
0.167 0.833 0.500
0.833 0.167 0.500
0.500 0.500 0.500
0.333 0.667 0.000
0.667 0.333 0.000
0.916 0.586 0.749
0.755 0.755 0.251
0.084 0.414 0.251
0.586 0.916 0.749
0.245 0.245 0.749
0.414 0.084 0.251
0.000 0.000 0.000
```

As for the space group: C2/m, No. 12. Its crystal system is monoclinic. The value obtained for the formation energy is 29 meV per atom.

---

Entry 2:
Tb2PmTm2Th2: relaxed, GGA-PBE.

The structure in POSCAR format:
```
Tb2PmTm2Th2
1.0
5.042 0.000 0.000
-2.521 4.189 -3.801
0.000 -3.951 14.179
Tb Pm Tm Th
2 1 2 2
Direct
0.707 0.414 0.784
0.293 0.586 0.216
0.000 0.000 0.500
0.426 0.852 0.072
0.574 0.148 0.928
0.858 0.715 0.642
0.142 0.285 0.358
```

As for the space group: C2/m, No. 12. Its crystal system is monoclinic. The value obtained for the formation energy is 48 meV per atom.

---

Entry 3:
Tb3Pm6TmTh2: relaxed, GGA-PBE.

The structure in POSCAR format:
```
Tb3Pm6TmTh2
1.0
6.231 0.003 -0.003
-3.112 5.399 -0.003
-1.037 -1.796 11.807
Tb Pm Tm Th
3 6 1 2
Direct
0.167 0.833 0.500
0.833 0.167 0.500
0.500 0.500 0.500
0.918 0.582 0.753
0.747 0.747 0.248
0.082 0.418 0.247
0.582 0.918 0.753
0.253 0.253 0.752
0.418 0.082 0.247
0.000 0.000 0.000
0.334 0.666 0.000
0.666 0.334 0.000
```

As for the space group: C2/m, No. 12. Its crystal system is monoclinic. The value obtained for the formation energy is 34 meV per atom.

---

Entry 4:
Tb4Pm2TmTh: relaxed, GGA-PBE.

The structure in POSCAR format:
```
Tb4Pm2TmTh
1.0
5.942 0.000 0.000
0.000 5.713 1.657
0.000 3.665 8.716
Tb Pm Tm Th
4 2 1 1
Direct
0.000 0.750 0.750
0.000 0.250 0.250
0.500 0.750 0.250
0.500 0.250 0.750
0.000 0.000 0.000
0.500 0.000 0.500
0.000 0.500 0.500
0.500 0.500 0.000
```

As for the space group: P4/mmm, No. 123. Its crystal system is tetragonal. The value obtained for the formation energy is 133 meV per atom.

---

Entry 5:
TbPmTm2Th: relaxed, GGA-PBE.

The structure in POSCAR format:
```
TbPmTm2Th
1.0
-5.143 -0.068 -2.199
2.467 -6.132 -5.580
-1.914 -4.978 4.628
Tb Pm Tm Th
2 2 4 2
Direct
0.000 0.500 0.750
0.000 0.500 0.250
0.000 0.000 0.000
0.000 0.000 0.500
0.500 0.679 0.000
0.500 0.321 0.500
0.500 0.679 0.500
0.500 0.321 0.000
0.500 0.000 0.250
0.500 0.000 0.750
```

As for the space group: Pmmm, No. 47. Its crystal system is orthorhombic. The value obtained for the formation energy is 319 meV per atom.

---

Entry 6:
TbPmTmTh2: relaxed, GGA-PBE.

The structure in POSCAR format:
```
TbPmTmTh2
1.0
-2.230 4.497 -4.392
-6.088 -2.691 0.335
1.233 6.171 5.692
Tb Pm Tm Th
2 2 2 4
Direct
0.750 0.744 0.488
0.250 0.256 0.512
0.250 0.848 0.695
0.750 0.152 0.305
0.250 0.651 0.302
0.750 0.349 0.698
0.500 0.253 0.000
0.000 0.747 0.000
0.500 0.747 0.000
0.000 0.253 0.000
```

As for the space group: Cmcm, No. 63. Its crystal system is orthorhombic. The value obtained for the formation energy is 410 meV per atom.

---

Repeat the fifth record exactly.
TbPmTm2Th: relaxed, GGA-PBE.

The structure in POSCAR format:
```
TbPmTm2Th
1.0
-5.143 -0.068 -2.199
2.467 -6.132 -5.580
-1.914 -4.978 4.628
Tb Pm Tm Th
2 2 4 2
Direct
0.000 0.500 0.750
0.000 0.500 0.250
0.000 0.000 0.000
0.000 0.000 0.500
0.500 0.679 0.000
0.500 0.321 0.500
0.500 0.679 0.500
0.500 0.321 0.000
0.500 0.000 0.250
0.500 0.000 0.750
```

As for the space group: Pmmm, No. 47. Its crystal system is orthorhombic. The value obtained for the formation energy is 319 meV per atom.

---

Please write out number 4 again, unchanged.
Tb4Pm2TmTh: relaxed, GGA-PBE.

The structure in POSCAR format:
```
Tb4Pm2TmTh
1.0
5.942 0.000 0.000
0.000 5.713 1.657
0.000 3.665 8.716
Tb Pm Tm Th
4 2 1 1
Direct
0.000 0.750 0.750
0.000 0.250 0.250
0.500 0.750 0.250
0.500 0.250 0.750
0.000 0.000 0.000
0.500 0.000 0.500
0.000 0.500 0.500
0.500 0.500 0.000
```

As for the space group: P4/mmm, No. 123. Its crystal system is tetragonal. The value obtained for the formation energy is 133 meV per atom.